GeAu3N: relaxed, GGA-PBE.

a = 4.473 Å, b = 4.473 Å, c = 4.473 Å
α = 90.00°, β = 90.00°, γ = 90.00°
Fractional positions:
Au (0.000, 0.500, 0.000)
Au (0.500, 0.000, 0.000)
Au (0.000, 0.000, 0.500)
Ge (0.500, 0.500, 0.500)
N (0.000, 0.000, 0.000)

As for the raw formation energy: 0.83 eV/atom. Its energy relative to the lowest polymorph listed for this composition is 0 meV per atom. The symmetry is Pm-3m, No. 221.

Ta2Te: relaxed, GGA-PBE.

a = 4.844 Å, b = 4.844 Å, c = 2.963 Å
α = 90.00°, β = 90.00°, γ = 120.00°
Fractional positions:
Ta (0.333, 0.667, 0.194)
Ta (0.667, 0.333, 0.806)
Te (0.000, 0.000, 0.000)

As for the raw formation energy: 0.36 eV/atom. The symmetry is P-3m1, No. 164.

Tb8ScSb6: relaxed, GGA-PBE.

a = 4.380 Å, b = 11.230 Å, c = 11.230 Å
α = 120.00°, β = 90.00°, γ = 90.00°
Site moments in Bohr magnetons follow the coordinates.
Fractional positions:
Sb (0.255, 0.480, 0.355)  0.01
Sb (0.746, 0.125, 0.480)  0.01
Sb (0.746, 0.520, 0.645)  0.01
Sb (0.255, 0.645, 0.125)  0.01
Sb (0.746, 0.355, 0.875)  0.01
Sb (0.255, 0.875, 0.520)  0.01
Tb (0.755, 0.679, 0.960)  0.15
Tb (0.755, 0.667, 0.333)  0.02
Tb (0.245, 0.960, 0.282)  0.15
Tb (0.245, 0.321, 0.040)  0.15
Tb (0.755, 0.040, 0.718)  0.15
Tb (0.245, 0.718, 0.679)  0.15
Tb (0.755, 0.282, 0.321)  0.15
Tb (0.245, 0.333, 0.667)  0.02
Sc (0.500, 0.000, 0.000)  0.62

As for the raw formation energy: -0.59 eV/atom. The symmetry is P-3, No. 147.

ZnFe2Rh2: relaxed, GGA-PBE.

a = 5.558 Å, b = 5.558 Å, c = 5.558 Å
α = 138.32°, β = 138.32°, γ = 60.41°
Site moments in Bohr magnetons follow the coordinates.
Fractional positions:
Fe (0.607, 0.607, 0.000)  1.92
Fe (0.393, 0.393, 0.000)  1.92
Zn (0.000, 0.000, 0.000)  -0.03
Rh (0.750, 0.250, 0.500)  0.40
Rh (0.250, 0.750, 0.500)  0.40

Its energy relative to the lowest polymorph listed for this composition is 292 meV per atom. Its energy of formation is 0.352 eV per atom. The symmetry is I4/mmm, No. 139.

PuZn2Cd2Au2: relaxed, GGA-PBE.

a = 4.609 Å, b = 4.609 Å, c = 8.441 Å
α = 74.16°, β = 74.16°, γ = 60.00°
Site moments in Bohr magnetons follow the coordinates.
Fractional positions:
Au (0.259, 0.259, 0.222)  0.00
Au (0.741, 0.741, 0.778)  0.00
Cd (0.135, 0.135, 0.594)  0.00
Cd (0.865, 0.865, 0.406)  0.00
Pu (0.000, 0.000, 0.000)  5.27
Zn (0.404, 0.404, 0.789)  0.01
Zn (0.596, 0.596, 0.211)  0.01

Its energy of formation is -0.241 eV per atom. The symmetry is R-3m, No. 166.

TlFeCuBi2: relaxed, GGA-PBE.

a = 5.111 Å, b = 5.105 Å, c = 5.111 Å
α = 90.00°, β = 90.00°, γ = 90.00°
Site moments in Bohr magnetons follow the coordinates.
Fractional positions:
Bi (0.000, 0.000, 0.500)  0.05
Bi (0.500, 0.000, 0.000)  -0.06
Fe (0.000, 0.000, 0.000)  1.64
Tl (0.000, 0.500, 0.000)  -0.02
Cu (0.500, 0.500, 0.500)  -0.02

Its energy of formation is 0.597 eV per atom. The symmetry is P4/mmm, No. 123.

BaLi2Sc: relaxed, GGA-PBE.

a = 5.494 Å, b = 5.494 Å, c = 5.494 Å
α = 60.00°, β = 60.00°, γ = 60.00°
Fractional positions:
Li (0.250, 0.250, 0.250)
Li (0.000, 0.000, 0.000)
Sc (0.750, 0.750, 0.750)
Ba (0.500, 0.500, 0.500)

Its energy relative to the lowest polymorph listed for this composition is 125 meV per atom. Its energy of formation is 0.355 eV per atom. The symmetry is F-43m, No. 216.

CsTl2Tc2O7: relaxed, GGA-PBE.

a = 6.338 Å, b = 6.338 Å, c = 9.207 Å
α = 69.86°, β = 69.86°, γ = 60.00°
Site moments in Bohr magnetons follow the coordinates.
Fractional positions:
O (0.968, 0.610, 0.278)  0.05
O (0.390, 0.032, 0.722)  0.05
O (0.610, 0.144, 0.278)  0.05
O (0.144, 0.968, 0.278)  0.05
O (0.032, 0.856, 0.722)  0.05
O (0.000, 0.000, 0.000)  -0.03
O (0.856, 0.390, 0.722)  0.05
Tl (0.703, 0.703, 0.891)  0.01
Tl (0.297, 0.297, 0.109)  0.01
Cs (0.500, 0.500, 0.500)  0.00
Tc (0.073, 0.073, 0.781)  0.32
Tc (0.927, 0.927, 0.219)  0.32

As for the raw formation energy: -1.27 eV/atom. The symmetry is R32, No. 155.

TaAs2Ir: relaxed, GGA-PBE.

a = 4.168 Å, b = 2.854 Å, c = 6.984 Å
α = 77.80°, β = 90.00°, γ = 90.00°
Fractional positions:
As (0.000, 0.104, 0.908)
As (0.500, 0.398, 0.339)
Ir (0.000, 0.291, 0.545)
Ta (0.500, 0.707, 0.707)

Its energy relative to the lowest polymorph listed for this composition is 16 meV per atom. Its energy of formation is -0.198 eV per atom. The symmetry is Pm, No. 6.

NaSmSb2: relaxed, GGA-PBE.

a = 4.097 Å, b = 4.097 Å, c = 6.913 Å
α = 90.00°, β = 90.00°, γ = 90.00°
Fractional positions:
Na (0.500, 0.500, 0.000)
Sb (0.000, 0.000, 0.273)
Sb (0.000, 0.000, 0.727)
Sm (0.500, 0.500, 0.500)

As for the raw formation energy: -0.61 eV/atom. Its energy relative to the lowest polymorph listed for this composition is 1 meV per atom. The symmetry is P4/mmm, No. 123.

Rb2AlSbF6: relaxed, GGA-PBE.

a = 6.867 Å, b = 6.867 Å, c = 6.371 Å
α = 57.39°, β = 57.39°, γ = 90.00°
Site moments in Bohr magnetons follow the coordinates.
Fractional positions:
Sb (0.000, 0.000, 0.000)  0.72
Rb (0.750, 0.250, 0.500)  0.01
Rb (0.250, 0.750, 0.500)  0.01
F (0.314, 0.314, 0.000)  0.03
F (0.731, 0.731, 0.539)  0.04
F (0.314, 0.686, 0.000)  0.03
F (0.269, 0.269, 0.461)  0.04
F (0.686, 0.686, 0.000)  0.03
F (0.686, 0.314, 0.000)  0.03
Al (0.500, 0.500, 0.000)  0.01

As for the raw formation energy: -2.64 eV/atom. The symmetry is I4/mmm, No. 139.

SrP2Ir3: relaxed, GGA-PBE.

a = 3.605 Å, b = 5.684 Å, c = 5.684 Å
α = 120.00°, β = 90.00°, γ = 90.00°
Fractional positions:
P (0.000, 0.667, 0.333)
P (0.000, 0.333, 0.667)
Sr (0.000, 0.000, 0.000)
Ir (0.500, 0.500, 0.000)
Ir (0.500, 0.000, 0.500)
Ir (0.500, 0.500, 0.500)

Its energy of formation is -0.608 eV per atom. The symmetry is P6/mmm, No. 191.